1.
An optimized crystal structure of AcYRh2, computed with PBE-GGA.

a b c (Å): 5.063 5.063 5.063
angles (deg): 60.00 60.00 60.00
Positions (direct):
Y (0.500, 0.500, 0.500)
Ac (0.000, 0.000, 0.000)
Rh (0.250, 0.250, 0.250)
Rh (0.750, 0.750, 0.750)

Results
E, eV/atom: -6.95
Polymorph energy (0 for the lowest one), eV/atom: 0.075
Density, g/cm³: 9.4
Formation enthalpy at 0 K, kJ/mol of formula units: -242.0



2.
An optimized crystal structure of AgBSeN2, computed with PBE-GGA.

a b c (Å): 3.352 3.352 7.748
angles (deg): 90.00 90.00 90.00
Site moments in Bohr magnetons follow the coordinates.
Positions (direct):
B (0.000, 0.000, 0.000)  -0.01
Se (0.000, 0.000, 0.500)  0.00
Ag (0.500, 0.500, 0.500)  0.00
N (0.000, 0.500, 0.000)  0.07
N (0.500, 0.000, 0.000)  0.07

Results
E, eV/atom: -4.60
Polymorph energy (0 for the lowest one), eV/atom: 0.000
Density, g/cm³: 4.3



3.
An optimized crystal structure of Ca2TeW, computed with PBE-GGA.

a b c (Å): 3.281 3.281 9.354
angles (deg): 90.00 90.00 94.49
Positions (direct):
Ca (0.000, 0.000, 0.990)
Ca (0.000, 0.000, 0.510)
Te (0.500, 0.500, 0.250)
W (0.500, 0.500, 0.750)

Results
E, eV/atom: -4.76
Polymorph energy (0 for the lowest one), eV/atom: 0.064
Density, g/cm³: 6.5



4.
An optimized crystal structure of RbHfFe2N, computed with PBE-GGA.

a b c (Å): 3.847 5.048 3.847
angles (deg): 90.00 90.00 90.00
Positions (direct):
Hf (0.500, 0.500, 0.500)
Fe (0.000, 0.000, 0.500)
Fe (0.500, 0.000, 0.000)
Rb (0.000, 0.500, 0.000)
N (0.000, 0.000, 0.000)

Results
E, eV/atom: -6.07
Density, g/cm³: 8.7



5.
An optimized crystal structure of Cd2OsRu, computed with PBE-GGA.

a b c (Å): 4.610 4.610 3.196
angles (deg): 90.00 90.00 90.00
Site moments in Bohr magnetons follow the coordinates.
Positions (direct):
Cd (0.000, 0.000, 0.000)  0.01
Cd (0.500, 0.500, 0.000)  0.01
Os (0.500, 0.000, 0.500)  1.01
Ru (0.000, 0.500, 0.500)  1.15

Results
E, eV/atom: -4.80
Polymorph energy (0 for the lowest one), eV/atom: 0.615
Density, g/cm³: 12.6
Formation enthalpy at 0 K, kJ/mol of formula units: 303.7



6.
An optimized crystal structure of BaP2AuO, computed with PBE-GGA.

a b c (Å): 6.308 6.308 4.469
angles (deg): 90.00 90.00 90.00
Site moments in Bohr magnetons follow the coordinates.
Positions (direct):
P (0.000, 0.500, 0.000)  0.91
P (0.500, 0.000, 0.000)  0.91
Au (0.500, 0.500, 0.500)  -0.08
Ba (0.000, 0.000, 0.000)  0.09
O (0.000, 0.000, 0.500)  0.13

Results
E, eV/atom: -3.16
Polymorph energy (0 for the lowest one), eV/atom: 1.068
Density, g/cm³: 3.8



7.
An optimized crystal structure of Rb4CaZn3F12, computed with PBE-GGA.

a b c (Å): 7.392 7.392 7.392
angles (deg): 109.47 109.47 109.47
Positions (direct):
Rb (0.500, 0.500, 0.500)
Rb (0.000, 0.000, 0.500)
Rb (0.500, 0.000, 0.000)
Rb (0.000, 0.500, 0.000)
Ca (0.000, 0.000, 0.000)
Zn (0.500, 0.000, 0.500)
Zn (0.500, 0.500, 0.000)
Zn (0.000, 0.500, 0.500)
F (0.250, 0.500, 0.750)
F (0.738, 0.000, 0.738)
F (0.262, 0.000, 0.262)
F (0.750, 0.500, 0.250)
F (0.738, 0.738, 0.000)
F (0.262, 0.262, 0.000)
F (0.750, 0.250, 0.500)
F (0.250, 0.750, 0.500)
F (0.500, 0.250, 0.750)
F (0.000, 0.738, 0.738)
F (0.500, 0.750, 0.250)
F (0.000, 0.262, 0.262)

Results
E, eV/atom: -4.38
Density, g/cm³: 4.3



8.
An optimized crystal structure of In2Bi2Se7, computed with PBE-GGA.

a b c (Å): 5.867 7.648 7.648
angles (deg): 90.09 92.34 92.34
Positions (direct):
In (0.407, 0.231, 0.231)
In (0.593, 0.769, 0.769)
Bi (0.000, 0.293, 0.707)
Bi (0.000, 0.707, 0.293)
Se (0.750, 0.966, 0.513)
Se (0.250, 0.487, 0.034)
Se (0.250, 0.034, 0.487)
Se (0.750, 0.513, 0.966)
Se (0.500, 0.000, 0.000)
Se (0.238, 0.594, 0.594)
Se (0.762, 0.406, 0.406)

Results
E, eV/atom: -3.59
Density, g/cm³: 5.8



9.
An optimized crystal structure of ZnPb2F6, computed with PBE-GGA.

a b c (Å): 5.737 5.737 16.424
angles (deg): 90.00 90.00 90.00
Positions (direct):
Zn (0.750, 0.250, 0.250)
Zn (0.250, 0.250, 0.750)
Zn (0.750, 0.750, 0.750)
Zn (0.250, 0.750, 0.250)
Pb (0.261, 0.761, 0.593)
Pb (0.739, 0.239, 0.593)
Pb (0.761, 0.261, 0.907)
Pb (0.261, 0.239, 0.093)
Pb (0.739, 0.761, 0.093)
Pb (0.239, 0.261, 0.407)
Pb (0.761, 0.739, 0.407)
Pb (0.239, 0.739, 0.907)
F (0.000, 0.500, 0.508)
F (0.000, 0.500, 0.008)
F (0.500, 0.000, 0.492)
F (0.500, 0.000, 0.992)
F (0.000, 0.000, 0.000)
F (0.500, 0.500, 0.500)
F (0.500, 0.500, 0.000)
F (0.000, 0.000, 0.500)
F (0.000, 0.500, 0.709)
F (0.000, 0.500, 0.209)
F (0.500, 0.000, 0.291)
F (0.500, 0.000, 0.791)
F (0.314, 0.814, 0.131)
F (0.686, 0.814, 0.631)
F (0.314, 0.186, 0.631)
F (0.814, 0.686, 0.869)
F (0.186, 0.314, 0.869)
F (0.686, 0.186, 0.131)
F (0.814, 0.314, 0.369)
F (0.186, 0.686, 0.369)
F (0.000, 0.000, 0.750)
F (0.500, 0.500, 0.250)
F (0.500, 0.500, 0.750)
F (0.000, 0.000, 0.250)

Results
E, eV/atom: -4.57
Polymorph energy (0 for the lowest one), eV/atom: 0.000
Density, g/cm³: 7.3



10.
An optimized crystal structure of CeMgS3, computed with PBE-GGA.

a b c (Å): 7.056 7.056 7.056
angles (deg): 58.10 58.10 58.10
Positions (direct):
Ce (0.352, 0.352, 0.352)
Ce (0.648, 0.648, 0.648)
Mg (0.150, 0.150, 0.150)
Mg (0.850, 0.850, 0.850)
S (0.954, 0.556, 0.236)
S (0.046, 0.444, 0.764)
S (0.556, 0.236, 0.954)
S (0.444, 0.764, 0.046)
S (0.236, 0.954, 0.556)
S (0.764, 0.046, 0.444)

Results
E, eV/atom: -5.52
Polymorph energy (0 for the lowest one), eV/atom: 0.056
Density, g/cm³: 3.6



11.
An optimized crystal structure of LiHfPd6, computed with PBE-GGA.

a b c (Å): 3.902 5.647 5.647
angles (deg): 89.99 90.00 90.00
Positions (direct):
Li (0.500, 0.500, 0.500)
Hf (0.500, 0.000, 0.000)
Pd (0.000, 0.749, 0.251)
Pd (0.000, 0.251, 0.749)
Pd (0.000, 0.749, 0.749)
Pd (0.000, 0.251, 0.251)
Pd (0.500, 0.500, 0.000)
Pd (0.500, 0.000, 0.500)

Results
E, eV/atom: -5.96
Polymorph energy (0 for the lowest one), eV/atom: 0.000
Density, g/cm³: 11.0
Formation enthalpy at 0 K, kJ/mol of formula units: -447.5



12.
An optimized crystal structure of TbPrPdAu, computed with PBE-GGA.

a b c (Å): 3.860 4.768 5.749
angles (deg): 90.00 109.62 90.00
Positions (direct):
Tb (0.864, 0.500, 0.728)
Pr (0.140, 0.000, 0.280)
Pd (0.413, 0.000, 0.827)
Au (0.583, 0.500, 0.165)

Results
E, eV/atom: -5.30
Polymorph energy (0 for the lowest one), eV/atom: 0.000
Density, g/cm³: 10.1
Formation enthalpy at 0 K, kJ/mol of formula units: -320.2



13.
An optimized crystal structure of ZrScHg2, computed with PBE-GGA.

a b c (Å): 4.105 3.248 7.265
angles (deg): 63.38 90.00 90.00
Positions (direct):
Sc (0.500, 0.250, 0.250)
Hg (0.000, 0.997, 0.003)
Hg (0.000, 0.503, 0.497)
Zr (0.500, 0.750, 0.750)

Results
E, eV/atom: -4.14
Polymorph energy (0 for the lowest one), eV/atom: 0.014
Density, g/cm³: 10.3
Formation enthalpy at 0 K, kJ/mol of formula units: -103.4



14.
An optimized crystal structure of AlSb2Mo, computed with PBE-GGA.

a b c (Å): 5.515 5.515 5.515
angles (deg): 135.25 135.25 65.14
Site moments in Bohr magnetons follow the coordinates.
Positions (direct):
Sb (0.000, 0.000, 0.000)  -0.02
Sb (0.250, 0.750, 0.500)  -0.01
Mo (0.750, 0.250, 0.500)  1.13
Al (0.500, 0.500, 0.000)  -0.02

Results
E, eV/atom: -5.20
Density, g/cm³: 7.4



15.
An optimized crystal structure of AsPb2W, computed with PBE-GGA.

a b c (Å): 3.011 3.011 10.483
angles (deg): 90.00 90.00 90.00
Positions (direct):
Pb (0.000, 0.000, 0.023)
Pb (0.000, 0.000, 0.477)
As (0.500, 0.500, 0.750)
W (0.500, 0.500, 0.250)

Results
E, eV/atom: -5.40
Density, g/cm³: 11.8
Formation enthalpy at 0 K, kJ/mol of formula units: 329.3



16.
An optimized crystal structure of GeP, computed with PBE-GGA.

a b c (Å): 7.834 7.834 7.834
angles (deg): 90.00 90.00 90.00
Positions (direct):
Ge (0.348, 0.348, 0.348)
Ge (0.348, 0.652, 0.652)
Ge (0.652, 0.348, 0.652)
Ge (0.652, 0.652, 0.348)
Ge (0.848, 0.848, 0.848)
Ge (0.848, 0.152, 0.152)
Ge (0.152, 0.848, 0.152)
Ge (0.152, 0.152, 0.848)
P (0.162, 0.162, 0.162)
P (0.162, 0.838, 0.838)
P (0.838, 0.162, 0.838)
P (0.838, 0.838, 0.162)
P (0.662, 0.662, 0.662)
P (0.662, 0.338, 0.338)
P (0.338, 0.662, 0.338)
P (0.338, 0.338, 0.662)

Results
E, eV/atom: -4.63
Density, g/cm³: 2.9
Formation enthalpy at 0 K, kJ/mol of formula units: 74.3



17.
An optimized crystal structure of Pr2Dy2AlGa4, computed with PBE-GGA.

a b c (Å): 6.747 6.747 6.747
angles (deg): 95.90 116.66 116.66
Positions (direct):
Pr (0.000, 0.690, 0.690)
Pr (0.000, 0.310, 0.310)
Dy (0.500, 0.750, 0.250)
Dy (0.500, 0.250, 0.750)
Al (0.000, 0.000, 0.000)
Ga (0.000, 0.754, 0.246)
Ga (0.509, 0.754, 0.754)
Ga (0.000, 0.246, 0.754)
Ga (0.491, 0.246, 0.246)

Results
E, eV/atom: -4.07
Density, g/cm³: 6.7
Formation enthalpy at 0 K, kJ/mol of formula units: -191.6



18.
An optimized crystal structure of La5Tb4Tm4, computed with PBE-GGA.

a b c (Å): 5.091 9.576 9.576
angles (deg): 85.95 74.58 74.58
Positions (direct):
La (0.694, 0.846, 0.766)
La (0.306, 0.154, 0.234)
La (0.000, 0.000, 0.000)
La (0.540, 0.766, 0.154)
La (0.460, 0.234, 0.846)
Tb (0.924, 0.462, 0.689)
Tb (0.614, 0.311, 0.462)
Tb (0.076, 0.538, 0.311)
Tb (0.386, 0.689, 0.538)
Tm (0.765, 0.390, 0.079)
Tm (0.235, 0.610, 0.921)
Tm (0.845, 0.921, 0.390)
Tm (0.155, 0.079, 0.610)

Results
E, eV/atom: -4.66
Density, g/cm³: 7.7
Formation enthalpy at 0 K, kJ/mol of formula units: 40.2



19.
An optimized crystal structure of ZnGaAs2, computed with PBE-GGA.

a b c (Å): 2.961 2.961 10.413
angles (deg): 81.83 81.83 60.00
Positions (direct):
As (0.081, 0.081, 0.756)
As (0.919, 0.919, 0.244)
Zn (0.000, 0.000, 0.000)
Ga (0.500, 0.500, 0.500)

Results
E, eV/atom: -3.21
Polymorph energy (0 for the lowest one), eV/atom: 0.344
Density, g/cm³: 6.1
Formation enthalpy at 0 K, kJ/mol of formula units: 74.1



20.
An optimized crystal structure of SmIn2Rh, computed with PBE-GGA.

a b c (Å): 5.570 8.089 16.078
angles (deg): 90.00 90.00 90.00
Positions (direct):
Sm (0.457, 0.250, 0.141)
Sm (0.957, 0.750, 0.359)
Sm (0.543, 0.750, 0.859)
Sm (0.043, 0.250, 0.641)
Sm (0.739, 0.250, 0.395)
Sm (0.239, 0.750, 0.105)
Sm (0.261, 0.750, 0.605)
Sm (0.761, 0.250, 0.895)
In (0.961, 0.049, 0.214)
In (0.461, 0.951, 0.286)
In (0.039, 0.549, 0.786)
In (0.539, 0.451, 0.714)
In (0.039, 0.951, 0.786)
In (0.539, 0.049, 0.714)
In (0.961, 0.451, 0.214)
In (0.461, 0.549, 0.286)
In (0.747, 0.550, 0.037)
In (0.247, 0.450, 0.463)
In (0.253, 0.050, 0.963)
In (0.753, 0.950, 0.537)
In (0.253, 0.450, 0.963)
In (0.753, 0.550, 0.537)
In (0.747, 0.950, 0.037)
In (0.247, 0.050, 0.463)
Rh (0.232, 0.250, 0.321)
Rh (0.732, 0.750, 0.179)
Rh (0.768, 0.750, 0.679)
Rh (0.268, 0.250, 0.821)
Rh (0.979, 0.250, 0.072)
Rh (0.479, 0.750, 0.428)
Rh (0.021, 0.750, 0.928)
Rh (0.521, 0.250, 0.572)

Results
E, eV/atom: -4.98
Density, g/cm³: 8.9
Formation enthalpy at 0 K, kJ/mol of formula units: -230.2



21.
An optimized crystal structure of Sc4Ga2S, computed with PBE-GGA.

a b c (Å): 3.765 5.893 7.025
angles (deg): 75.98 74.46 71.37
Positions (direct):
Sc (0.092, 0.184, 0.632)
Sc (0.908, 0.816, 0.368)
Sc (0.328, 0.267, 0.077)
Sc (0.672, 0.733, 0.923)
Ga (0.374, 0.587, 0.665)
Ga (0.626, 0.413, 0.335)
S (0.000, 0.000, 0.000)

Results
E, eV/atom: -5.98
Polymorph energy (0 for the lowest one), eV/atom: 0.000
Density, g/cm³: 4.2



22.
An optimized crystal structure of MgCd2P, computed with PBE-GGA.

a b c (Å): 5.375 5.375 5.375
angles (deg): 136.36 128.87 69.44
Positions (direct):
Cd (0.016, 0.016, 0.000)
Cd (0.747, 0.247, 0.500)
Mg (0.475, 0.475, 0.000)
P (0.262, 0.762, 0.500)

Results
E, eV/atom: -2.13
Density, g/cm³: 5.7
Formation enthalpy at 0 K, kJ/mol of formula units: 28.6



23.
An optimized crystal structure of Ba2CaInPt, computed with PBE-GGA.

a b c (Å): 6.220 6.220 5.307
angles (deg): 90.00 90.00 90.00
Positions (direct):
Ca (0.500, 0.500, 0.500)
Ba (0.000, 0.500, 0.000)
Ba (0.500, 0.000, 0.000)
Pt (0.000, 0.000, 0.000)
In (0.000, 0.000, 0.500)

Results
E, eV/atom: -3.29
Polymorph energy (0 for the lowest one), eV/atom: 0.080
Density, g/cm³: 5.1
Formation enthalpy at 0 K, kJ/mol of formula units: -174.1



Total magnetic moment for every record listed, in sequence, given in Bohr magnetons per cell: 0.00; 0.18; 0.00; 0.00; 2.27; 4.36; 0.00; 0.00; 0.00; 0.00; 0.00; 0.00; 0.00; 1.19; 0.00; 0.00; 0.00; 0.00; 0.00; 0.00; 0.00; 0.00; 0.00.